First-principles (PBE) data for RbLaNF2 after structural relaxation, as listed in Alexandria.

a b c (Å): 4.8843 4.8843 4.3357
angles (deg): 90.00 90.00 90.00
Last column: nearest neighbours and their distance in Å.
Space group P4/mmm (No. 123)
Unique sites:
Rb  0.0000  0.0000  0.0000 [1 per cell]  8 F 3.27, 4 N 3.45
La  0.5000  0.5000  0.5000 [1 per cell]  2 N 2.17
N  0.5000  0.5000  0.0000 [1 per cell]  2 La 2.17
F  0.0000  0.5000  0.5000 [2 per cell]  2 La 2.44

**Relative energy among the computed polymorphs**: 0 meV/atom
**Energy relative to the elements, uncorrected**: -217.3 kJ per mole of atoms
**E**: -0.4296 Ry/atom